Entry 1:
DFT (GGA-PBE) results for a relaxed structure of Dy10TmSc6. Values from VASP.

Cell and atoms, written as Quantum ESPRESSO input:
```
&SYSTEM
  ibrav = 0, nat = 17, ntyp = 3
/
ATOMIC_SPECIES
Dy 162.50 Dy.upf
Tm 168.93 Tm.upf
Sc 44.96 Sc.upf
ATOMIC_POSITIONS crystal
Dy 0.818 0.719 0.719
Dy 0.818 0.000 0.281
Dy 0.818 0.281 0.000
Dy 0.182 0.281 0.281
Dy 0.182 0.000 0.719
Dy 0.182 0.719 0.000
Dy 0.500 0.333 0.667
Dy 0.500 0.667 0.333
Dy 0.000 0.667 0.333
Dy 0.000 0.333 0.667
Tm 0.500 0.000 0.000
Sc 0.682 0.368 0.368
Sc 0.682 0.000 0.632
Sc 0.682 0.632 0.000
Sc 0.318 0.632 0.632
Sc 0.318 0.000 0.368
Sc 0.318 0.368 0.000
CELL_PARAMETERS angstrom
6.607 0.000 0.000
0.000 8.092 -4.672
0.000 0.000 9.344
```

Crystal system: trigonal
Size of the total moment: 0.00 Bohr magnetons per cell
Energy relative to the elements: 2.314 eV per formula unit
Raw total energy: -5.069 eV/atom

=====

Entry 2:
DFT (GGA-PBE) results for a relaxed structure of DyTm2Sc. Values from VASP.

Cell and atoms, written as Quantum ESPRESSO input:
```
&SYSTEM
  ibrav = 0, nat = 4, ntyp = 3
/
ATOMIC_SPECIES
Dy 162.50 Dy.upf
Tm 168.93 Tm.upf
Sc 44.96 Sc.upf
ATOMIC_POSITIONS crystal
Dy 0.501 0.501 0.498
Tm 0.081 0.081 0.758
Tm 0.253 0.253 0.242
Sc 0.666 0.666 0.002
CELL_PARAMETERS angstrom
3.484 0.000 0.000
1.742 3.017 0.000
1.742 1.006 11.038
```

Crystal system: trigonal
Size of the total moment: 0.00 Bohr magnetons per cell
Energy relative to the elements: 0.128 eV per formula unit
Raw total energy: -4.937 eV/atom

=====

Entry 3:
DFT (GGA-PBE) results for a relaxed structure of Dy2Tm6Sc5. Values from VASP.

Cell and atoms, written as Quantum ESPRESSO input:
```
&SYSTEM
  ibrav = 0, nat = 26, ntyp = 3
/
ATOMIC_SPECIES
Dy 162.50 Dy.upf
Tm 168.93 Tm.upf
Sc 44.96 Sc.upf
ATOMIC_POSITIONS crystal
Dy 0.000 0.348 0.285
Dy 0.000 0.652 0.715
Dy 0.000 0.848 0.215
Dy 0.000 0.152 0.785
Tm 0.000 0.089 0.366
Tm 0.000 0.911 0.634
Tm 0.000 0.589 0.134
Tm 0.000 0.411 0.866
Tm 0.500 0.328 0.124
Tm 0.500 0.672 0.876
Tm 0.500 0.828 0.376
Tm 0.500 0.172 0.624
Tm 0.000 0.558 0.420
Tm 0.000 0.442 0.580
Tm 0.000 0.058 0.080
Tm 0.000 0.942 0.920
Sc 0.500 0.303 0.449
Sc 0.500 0.697 0.551
Sc 0.500 0.803 0.051
Sc 0.500 0.197 0.949
Sc 0.500 0.606 0.277
Sc 0.500 0.394 0.723
Sc 0.500 0.106 0.223
Sc 0.500 0.894 0.777
Sc 0.500 0.500 0.000
Sc 0.500 0.000 0.500
CELL_PARAMETERS angstrom
3.443 0.000 0.000
0.000 11.273 0.000
0.000 0.000 19.163
```

Crystal system: orthorhombic
Size of the total moment: 0.00 Bohr magnetons per cell
Energy relative to the elements: 1.493 eV per formula unit
Raw total energy: -5.092 eV/atom

=====

Entry 4:
DFT (GGA-PBE) results for a relaxed structure of DyTm3Sc7. Values from VASP.

Cell and atoms, written as Quantum ESPRESSO input:
```
&SYSTEM
  ibrav = 0, nat = 11, ntyp = 3
/
ATOMIC_SPECIES
Dy 162.50 Dy.upf
Tm 168.93 Tm.upf
Sc 44.96 Sc.upf
ATOMIC_POSITIONS crystal
Dy 0.500 0.500 0.500
Tm 0.000 0.791 0.209
Tm 0.500 0.000 0.000
Tm 0.000 0.209 0.791
Sc 0.208 0.208 0.208
Sc 0.286 0.979 0.594
Sc 0.714 0.406 0.021
Sc 0.286 0.594 0.979
Sc 0.000 0.500 0.500
Sc 0.714 0.021 0.406
Sc 0.792 0.792 0.792
CELL_PARAMETERS angstrom
-5.217 -0.017 -1.426
2.574 -7.450 0.939
0.643 0.029 7.912
```

Crystal system: orthorhombic
Size of the total moment: 0.34 Bohr magnetons per cell
Energy relative to the elements: 3.280 eV per formula unit
Raw total energy: -5.369 eV/atom

=====

Entry 5:
DFT (GGA-PBE) results for a relaxed structure of Dy4Tm2Sc. Values from VASP.

Cell and atoms, written as Quantum ESPRESSO input:
```
&SYSTEM
  ibrav = 0, nat = 14, ntyp = 3
/
ATOMIC_SPECIES
Dy 162.50 Dy.upf
Tm 168.93 Tm.upf
Sc 44.96 Sc.upf
ATOMIC_POSITIONS crystal
Dy 0.645 0.505 0.286
Dy 0.035 0.750 0.868
Dy 0.965 0.250 0.132
Dy 0.645 0.995 0.286
Dy 0.853 0.250 0.559
Dy 0.355 0.005 0.714
Dy 0.355 0.495 0.714
Dy 0.147 0.750 0.441
Tm 0.612 0.750 0.001
Tm 0.388 0.250 0.999
Tm 0.285 0.250 0.424
Tm 0.715 0.750 0.576
Sc 0.158 0.750 0.163
Sc 0.842 0.250 0.837
CELL_PARAMETERS angstrom
6.047 0.000 -0.315
0.000 6.435 0.000
-2.423 0.000 11.007
```

Crystal system: monoclinic
Size of the total moment: 0.00 Bohr magnetons per cell
Energy relative to the elements: 1.004 eV per formula unit
Raw total energy: -4.668 eV/atom

=====

Entry 6:
DFT (GGA-PBE) results for a relaxed structure of Dy4Tm3Sc4. Values from VASP.

Cell and atoms, written as Quantum ESPRESSO input:
```
&SYSTEM
  ibrav = 0, nat = 11, ntyp = 3
/
ATOMIC_SPECIES
Dy 162.50 Dy.upf
Tm 168.93 Tm.upf
Sc 44.96 Sc.upf
ATOMIC_POSITIONS crystal
Dy 0.591 0.091 0.819
Dy 0.268 0.268 0.464
Dy 0.732 0.732 0.536
Dy 0.409 0.909 0.181
Tm 0.137 0.637 0.728
Tm 0.863 0.364 0.272
Tm 0.000 0.000 0.000
Sc 0.545 0.545 0.911
Sc 0.455 0.455 0.089
Sc 0.319 0.819 0.361
Sc 0.681 0.181 0.639
CELL_PARAMETERS angstrom
3.397 -0.004 0.002
0.007 5.403 0.005
1.697 2.687 17.056
```

Crystal system: triclinic
Size of the total moment: 0.00 Bohr magnetons per cell
Energy relative to the elements: 0.787 eV per formula unit
Raw total energy: -5.124 eV/atom

=====

Entry 7:
DFT (GGA-PBE) results for a relaxed structure of Dy5Tm6Sc2. Values from VASP.

Cell and atoms, written as Quantum ESPRESSO input:
```
&SYSTEM
  ibrav = 0, nat = 26, ntyp = 3
/
ATOMIC_SPECIES
Dy 162.50 Dy.upf
Tm 168.93 Tm.upf
Sc 44.96 Sc.upf
ATOMIC_POSITIONS crystal
Dy 0.500 0.437 0.422
Dy 0.500 0.563 0.578
Dy 0.500 0.937 0.078
Dy 0.500 0.063 0.922
Dy 0.500 0.644 0.280
Dy 0.500 0.356 0.720
Dy 0.500 0.144 0.220
Dy 0.500 0.856 0.780
Dy 0.500 0.500 0.000
Dy 0.500 0.000 0.500
Tm 0.000 0.165 0.384
Tm 0.000 0.835 0.616
Tm 0.000 0.665 0.116
Tm 0.000 0.335 0.884
Tm 0.500 0.419 0.155
Tm 0.500 0.581 0.845
Tm 0.500 0.919 0.345
Tm 0.500 0.081 0.655
Tm 0.000 0.719 0.445
Tm 0.000 0.281 0.555
Tm 0.000 0.219 0.055
Tm 0.000 0.781 0.945
Sc 0.000 0.384 0.286
Sc 0.000 0.616 0.714
Sc 0.000 0.884 0.214
Sc 0.000 0.116 0.786
CELL_PARAMETERS angstrom
-0.603 2.686 2.193
-10.448 0.738 -3.777
-5.984 -12.814 14.046
```

Crystal system: orthorhombic
Size of the total moment: 0.00 Bohr magnetons per cell
Energy relative to the elements: 0.680 eV per formula unit
Raw total energy: -4.756 eV/atom

=====

Entry 8:
DFT (GGA-PBE) results for a relaxed structure of Dy6TmSc3. Values from VASP.

Cell and atoms, written as Quantum ESPRESSO input:
```
&SYSTEM
  ibrav = 0, nat = 20, ntyp = 3
/
ATOMIC_SPECIES
Dy 162.50 Dy.upf
Tm 168.93 Tm.upf
Sc 44.96 Sc.upf
ATOMIC_POSITIONS crystal
Dy 0.037 0.704 0.629
Dy 0.537 0.629 0.704
Dy 0.358 0.551 0.960
Dy 0.858 0.960 0.551
Dy 0.370 0.953 0.047
Dy 0.668 0.299 0.701
Dy 0.168 0.701 0.299
Dy 0.870 0.047 0.953
Dy 0.358 0.040 0.449
Dy 0.858 0.449 0.040
Dy 0.037 0.371 0.296
Dy 0.537 0.296 0.371
Tm 0.181 0.209 0.791
Tm 0.681 0.791 0.209
Sc 0.433 0.927 0.699
Sc 0.933 0.699 0.927
Sc 0.111 0.386 0.614
Sc 0.611 0.614 0.386
Sc 0.933 0.073 0.301
Sc 0.433 0.301 0.073
CELL_PARAMETERS angstrom
6.138 0.000 0.000
0.000 10.479 -1.683
0.000 -3.979 9.839
```

Crystal system: orthorhombic
Size of the total moment: 0.00 Bohr magnetons per cell
Energy relative to the elements: 1.680 eV per formula unit
Raw total energy: -4.940 eV/atom

=====

Entry 9:
DFT (GGA-PBE) results for a relaxed structure of Dy3Tm5Sc2. Values from VASP.

Cell and atoms, written as Quantum ESPRESSO input:
```
&SYSTEM
  ibrav = 0, nat = 20, ntyp = 3
/
ATOMIC_SPECIES
Dy 162.50 Dy.upf
Tm 168.93 Tm.upf
Sc 44.96 Sc.upf
ATOMIC_POSITIONS crystal
Dy 0.178 0.926 0.952
Dy 0.822 0.074 0.048
Dy 0.772 0.527 0.350
Dy 0.228 0.473 0.650
Dy 0.974 0.727 0.150
Dy 0.026 0.273 0.850
Tm 0.325 0.575 0.052
Tm 0.675 0.425 0.948
Tm 0.075 0.825 0.551
Tm 0.574 0.323 0.548
Tm 0.925 0.175 0.449
Tm 0.426 0.677 0.452
Tm 0.872 0.627 0.750
Tm 0.128 0.373 0.250
Tm 0.378 0.121 0.750
Tm 0.622 0.879 0.250
Sc 0.721 0.976 0.648
Sc 0.279 0.024 0.352
Sc 0.524 0.777 0.851
Sc 0.476 0.223 0.149
CELL_PARAMETERS angstrom
-3.144 -3.488 -7.839
3.782 3.400 -7.598
5.134 -5.449 7.975
```

Crystal system: triclinic
Size of the total moment: 0.00 Bohr magnetons per cell
Energy relative to the elements: 0.403 eV per formula unit
Raw total energy: -4.842 eV/atom

=====

Entry 10:
DFT (GGA-PBE) results for a relaxed structure of DyTmSc2. Values from VASP.

Cell and atoms, written as Quantum ESPRESSO input:
```
&SYSTEM
  ibrav = 0, nat = 4, ntyp = 3
/
ATOMIC_SPECIES
Sc 44.96 Sc.upf
Tm 168.93 Tm.upf
Dy 162.50 Dy.upf
ATOMIC_POSITIONS crystal
Sc 0.000 0.000 0.751
Sc 0.000 0.000 0.249
Tm 0.500 0.500 0.000
Dy 0.500 0.500 0.500
CELL_PARAMETERS angstrom
-0.005 -1.443 -3.109
-1.248 -2.895 1.346
-8.722 3.097 -1.424
```

Crystal system: tetragonal
Size of the total moment: 0.00 Bohr magnetons per cell
Energy relative to the elements: 0.204 eV per formula unit
Raw total energy: -5.383 eV/atom

=====

Entry 11:
DFT (GGA-PBE) results for a relaxed structure of Dy3TmSc. Values from VASP.

Cell and atoms, written as Quantum ESPRESSO input:
```
&SYSTEM
  ibrav = 0, nat = 10, ntyp = 3
/
ATOMIC_SPECIES
Dy 162.50 Dy.upf
Tm 168.93 Tm.upf
Sc 44.96 Sc.upf
ATOMIC_POSITIONS crystal
Dy 0.750 0.541 0.402
Dy 0.250 0.459 0.598
Dy 0.750 0.331 0.997
Dy 0.250 0.064 0.792
Dy 0.250 0.669 0.003
Dy 0.750 0.936 0.208
Tm 0.250 0.269 0.202
Tm 0.750 0.731 0.798
Sc 0.250 0.869 0.403
Sc 0.750 0.131 0.597
CELL_PARAMETERS angstrom
-0.689 3.951 3.775
-4.592 2.377 -3.326
-3.491 -6.341 5.999
```

Crystal system: monoclinic
Size of the total moment: 0.00 Bohr magnetons per cell
Energy relative to the elements: 0.085 eV per formula unit
Raw total energy: -4.905 eV/atom

=====

Entry 12:
DFT (GGA-PBE) results for a relaxed structure of Dy2Tm5Sc12. Values from VASP.

Cell and atoms, written as Quantum ESPRESSO input:
```
&SYSTEM
  ibrav = 0, nat = 19, ntyp = 3
/
ATOMIC_SPECIES
Dy 162.50 Dy.upf
Tm 168.93 Tm.upf
Sc 44.96 Sc.upf
ATOMIC_POSITIONS crystal
Dy 0.687 0.000 0.000
Dy 0.313 0.000 0.000
Tm 0.236 0.473 0.579
Tm 0.298 0.595 0.996
Tm 0.000 0.000 0.500
Tm 0.702 0.405 0.004
Tm 0.764 0.527 0.421
Sc 0.910 0.819 0.118
Sc 0.025 0.692 0.751
Sc 0.667 0.692 0.751
Sc 0.182 0.745 0.345
Sc 0.563 0.745 0.345
Sc 0.448 0.895 0.666
Sc 0.552 0.105 0.334
Sc 0.818 0.255 0.655
Sc 0.437 0.255 0.655
Sc 0.975 0.308 0.249
Sc 0.333 0.308 0.249
Sc 0.090 0.181 0.882
CELL_PARAMETERS angstrom
8.573 0.000 0.000
-4.287 7.378 1.129
0.000 -1.499 7.929
```

Crystal system: monoclinic
Size of the total moment: 0.00 Bohr magnetons per cell
Energy relative to the elements: 2.546 eV per formula unit
Raw total energy: -5.526 eV/atom